Record 1
MnB3Br: relaxed, PBE.

The energy relative to the lowest polymorph listed for this composition is 143.48 kJ per mole of atoms. The calculation puts the calculated total energy at -16.17 eV per cell.

abc: 4.0412 4.0412 4.0412
angles: 90.00 90.00 90.00
Each line ends with the local moment (μB).
Sites, in units of the cell vectors:
B1 0.0000 0.0000 0.5000  0.01
B2 0.5000 0.0000 0.0000  0.09
B3 0.0000 0.5000 0.0000  0.06
Br1 0.0000 0.0000 0.0000  0.01
Mn1 0.5000 0.5000 0.5000  -0.75


Record 2
MnB2Br: relaxed, PBE.

The energy relative to the lowest polymorph listed for this composition is 0.00 kJ per mole of atoms. The calculation puts the calculated total energy at -38.85 eV per cell.

abc: 5.0816 5.0816 5.9312
angles: 64.64 64.64 90.00
Each line ends with the local moment (μB).
Sites, in units of the cell vectors:
Mn1 0.2500 0.7500 0.5000  1.44
Mn2 0.5000 0.5000 0.0000  1.44
Br1 0.0000 0.0000 0.0000  0.05
Br2 0.7500 0.2500 0.5000  0.05
B1 0.3750 0.4415 0.7500  -0.09
B2 0.8750 0.8085 0.7500  -0.09
B3 0.5585 0.1250 0.2500  -0.09
B4 0.1915 0.6250 0.2500  -0.09


Record 3
Mn2BBr: relaxed, PBE.

The energy relative to the lowest polymorph listed for this composition is 55.67 kJ per mole of atoms. The calculation puts the calculated total energy at -22.71 eV per cell.

abc: 3.9506 3.9506 3.9506
angles: 60.00 60.00 60.00
Each line ends with the local moment (μB).
Sites, in units of the cell vectors:
Br1 0.5000 0.5000 0.5000  -0.02
B1 0.0000 0.0000 0.0000  -0.03
Mn1 0.7500 0.7500 0.7500  0.26
Mn2 0.2500 0.2500 0.2500  0.26


Record 4
MnB3Br: relaxed, PBE.

The energy relative to the lowest polymorph listed for this composition is 0.00 kJ per mole of atoms. The calculation puts the calculated total energy at -23.61 eV per cell.

abc: 4.0902 4.0902 4.0902
angles: 90.00 90.00 90.00
Each line ends with the local moment (μB).
Sites, in units of the cell vectors:
Br1 0.5000 0.5000 0.5000  0.38
B1 0.0000 0.5000 0.0000  0.01
B2 0.5000 0.0000 0.0000  -0.04
B3 0.0000 0.0000 0.5000  0.08
Mn1 0.0000 0.0000 0.0000  1.98


energy relative to the lowest polymorph listed for this composition of number 2 (MnB2Br)? 0.00 kJ per mole of atoms


energy relative to the lowest polymorph listed for this composition of number 4 (MnB3Br)? 0.00 kJ per mole of atoms


Among the records above, which one has the lowest calculated total energy? MnB2Br